# 1
First-principles (PBE-GGA) data for a relaxed ZrPPb4 crystal, as listed in Alexandria via LeMat-Bulk.

Output
electronic total energy: -4.20 eV/atom

Lattice parameters (Å, degrees): 6.223 6.223 6.223 60.00 60.00 60.00
Positions (direct):
1 Zr 0.750 0.750 0.750
2 P 0.000 0.000 0.000
3 Pb 0.874 0.375 0.375
4 Pb 0.375 0.375 0.874
5 Pb 0.375 0.874 0.375
6 Pb 0.375 0.375 0.375

***

# 2
First-principles (PBE-GGA) data for a relaxed ZrPPb2 crystal, as listed in Alexandria via LeMat-Bulk.

Output
electronic total energy: -5.68 eV/atom

Lattice parameters (Å, degrees): 8.297 8.297 8.297 154.98 154.08 36.34
Positions (direct):
1 Zr 0.000 0.500 0.500
2 P 0.500 0.000 0.500
3 Pb 0.822 0.822 0.000
4 Pb 0.178 0.178 0.000

***

# 3
First-principles (PBE-GGA) data for a relaxed Zr2PPb crystal, as listed in Alexandria via LeMat-Bulk.

Output
energy relative to the lowest polymorph listed for this composition: 0.98 eV/f.u.

Lattice parameters (Å, degrees): 3.302 3.302 7.966 90.00 90.00 103.61
Positions (direct):
1 Zr 0.000 0.000 0.294
2 Zr 0.000 0.000 0.706
3 P 0.500 0.500 0.500
4 Pb 0.500 0.500 0.000

***

# 4
First-principles (PBE-GGA) data for a relaxed Zr2PPb crystal, as listed in Alexandria via LeMat-Bulk.

Output
energy relative to the lowest polymorph listed for this composition: 2.38 eV/f.u.

Lattice parameters (Å, degrees): 4.900 4.900 4.900 60.00 60.00 60.00
Positions (direct):
1 Pb 0.500 0.500 0.500
2 P 0.000 0.000 0.000
3 Zr 0.250 0.250 0.250
4 Zr 0.750 0.750 0.750

***

# 5
First-principles (PBE-GGA) data for a relaxed ZrP2Pb crystal, as listed in Alexandria via LeMat-Bulk.

Output
electronic total energy: -6.04 eV/atom

Lattice parameters (Å, degrees): 6.286 6.286 7.511 65.26 65.26 90.00
Positions (direct):
1 Pb 0.000 0.000 0.000
2 Pb 0.750 0.250 0.500
3 P 0.579 0.125 0.250
4 P 0.171 0.625 0.250
5 P 0.375 0.421 0.750
6 P 0.875 0.829 0.750
7 Zr 0.500 0.500 0.000
8 Zr 0.250 0.750 0.500

***

# 6
First-principles (PBE-GGA) data for a relaxed ZrP2Pb crystal, as listed in Alexandria via LeMat-Bulk.

Output
electronic total energy: -6.17 eV/atom

Lattice parameters (Å, degrees): 3.913 3.913 5.687 90.00 90.00 90.00
Positions (direct):
1 P 0.000 0.000 0.875
2 P 0.500 0.500 0.375
3 Pb 0.000 0.000 0.375
4 Zr 0.500 0.500 0.875

***

# 7
First-principles (PBE-GGA) data for a relaxed Zr3PPb crystal, as listed in Alexandria via LeMat-Bulk.

Output
energy relative to the lowest polymorph listed for this composition: 0.00 eV/f.u.

Lattice parameters (Å, degrees): 3.644 8.034 8.678 68.80 77.88 76.89
Positions (direct):
1 Zr 0.951 0.372 0.726
2 Zr 0.049 0.628 0.274
3 Zr 0.592 0.026 0.789
4 Zr 0.408 0.974 0.211
5 Zr 0.753 0.355 0.139
6 Zr 0.247 0.645 0.861
7 P 0.386 0.273 0.954
8 P 0.614 0.727 0.046
9 Pb 0.166 0.213 0.455
10 Pb 0.834 0.787 0.545

***

# 8
First-principles (PBE-GGA) data for a relaxed ZrPPb2 crystal, as listed in Alexandria via LeMat-Bulk.

Output
electronic total energy: -5.08 eV/atom

Lattice parameters (Å, degrees): 5.148 5.148 5.148 60.00 60.00 60.00
Positions (direct):
1 Zr 0.250 0.250 0.250
2 P 0.500 0.500 0.500
3 Pb 0.000 0.000 0.000
4 Pb 0.750 0.750 0.750